1.
## TbTm2Pd (PBE-GGA)

Data for a relaxed TbTm2Pd crystal.

Properties
magnetization = 0.0 μB per formula unit
E above lowest polymorph = 0.000 eV/atom
DOS(E_F) = 19.1 states/eV/cell
symmetry = Pnma
V = 429 Å³/cell
formation enthalpy at 0 K = -489 meV/atom

abc: 6.9822 9.5567 6.4274
angles: 90.00 90.00 90.00
Fractional coordinates of all 16 atoms:
Tb (0.0185, 0.2500, 0.1291)
Tb (0.4815, 0.7500, 0.6291)
Tb (0.5185, 0.2500, 0.3709)
Tb (0.9815, 0.7500, 0.8709)
Tm (0.1800, 0.0591, 0.6759)
Tm (0.1800, 0.4409, 0.6759)
Tm (0.3200, 0.5591, 0.1759)
Tm (0.3200, 0.9409, 0.1759)
Tm (0.6800, 0.0591, 0.8241)
Tm (0.6800, 0.4409, 0.8241)
Tm (0.8200, 0.5591, 0.3241)
Tm (0.8200, 0.9409, 0.3241)
Pd (0.1104, 0.7500, 0.4384)
Pd (0.3896, 0.2500, 0.9384)
Pd (0.6104, 0.7500, 0.0616)
Pd (0.8896, 0.2500, 0.5616)

=====

2.
## LiTbHo2S5 (PBE-GGA)

Data for a relaxed LiTbHo2S5 crystal.

Properties
magnetization = 0.0 μB per formula unit
ΔE_f (raw) = -1.858 eV per atom
symmetry = Cmc2_1
V = 370 Å³/cell

abc: 8.3113 8.3113 11.7964
angles: 90.00 90.00 152.96
Fractional coordinates of all 18 atoms:
Li (0.0123, 0.9877, 0.5000)
Li (0.9877, 0.0123, 0.0000)
Tb (0.3036, 0.6964, 0.0174)
Tb (0.6964, 0.3036, 0.5174)
Ho (0.3772, 0.6228, 0.3088)
Ho (0.3919, 0.6081, 0.7010)
Ho (0.6081, 0.3919, 0.2010)
Ho (0.6228, 0.3772, 0.8088)
S (0.0001, 0.9999, 0.3029)
S (0.9999, 0.0001, 0.8029)
S (0.1363, 0.8637, 0.0209)
S (0.1921, 0.8079, 0.3553)
S (0.2123, 0.7877, 0.6815)
S (0.4553, 0.5447, 0.0936)
S (0.5447, 0.4553, 0.5936)
S (0.7877, 0.2123, 0.1815)
S (0.8079, 0.1921, 0.8553)
S (0.8637, 0.1363, 0.5209)

=====

3.
## Sr2CaSb (PBE-GGA)

Data for a relaxed Sr2CaSb crystal.

Properties
magnetization = 0.0 μB per formula unit
ΔE_f (raw) = -0.337 eV per atom
DOS(E_F) = 21.0 states/eV/cell
symmetry = I-42d
V = 801 Å³/cell

abc: 11.2884 11.2884 6.2852
angles: 90.00 90.00 90.00
Fractional coordinates of all 16 atoms:
Sr (0.1312, 0.2500, 0.1250)
Sr (0.2500, 0.6312, 0.3750)
Sr (0.2500, 0.8688, 0.8750)
Sr (0.3688, 0.2500, 0.6250)
Sr (0.6312, 0.7500, 0.6250)
Sr (0.7500, 0.1312, 0.8750)
Sr (0.7500, 0.3688, 0.3750)
Sr (0.8688, 0.7500, 0.1250)
Ca (0.0000, 0.0000, 0.5000)
Ca (0.0000, 0.5000, 0.7500)
Ca (0.5000, 0.0000, 0.2500)
Ca (0.5000, 0.5000, 0.0000)
Sb (0.0000, 0.0000, 0.0000)
Sb (0.0000, 0.5000, 0.2500)
Sb (0.5000, 0.0000, 0.7500)
Sb (0.5000, 0.5000, 0.5000)

=====

Which formula does entry 1 have? TbTm2Pd

=====

The highest V belongs to which entry? Sr2CaSb

=====

Look up the V of the third one. 801 Å³/cell